(1)
Below is an optimized crystal structure of HoLu2Tl, with properties calculated at the PBE level.

Cell: 3.566 3.566 8.941 Å, 90.00 90.00 90.00°
Fractional coordinates of all 4 atoms:
1 Ho 0.500 0.500 0.500
2 Lu 0.000 0.000 0.231
3 Lu 0.000 0.000 0.769
4 Tl 0.500 0.500 0.000

## Properties
DOS(E_F): 0.987 states/eV/atom
Energy of formation from the pure elements: -0.64 eV/f.u.
Theoretical density: 10.51 g cm⁻³
ΔE to the lowest computed polymorph: 0 meV/atom
Volume: 28.42 A^3/atom

(2)
Below is an optimized crystal structure of HoLu2Tl, with properties calculated at the PBE level.

Cell: 4.770 4.791 4.791 Å, 90.00 90.00 90.00°
Last column: magnetic moment on the atom in μB.
Fractional coordinates of all 4 atoms:
1 Tl 0.500 0.000 0.000  -0.01
2 Lu 0.000 0.500 0.000  0.10
3 Ho 0.500 0.500 0.500  0.13
4 Lu 0.000 0.000 0.500  0.10

## Properties
DOS(E_F): 1.275 states/eV/atom
Energy of formation from the pure elements: -0.61 eV/f.u.
Theoretical density: 10.91 g cm⁻³
ΔE to the lowest computed polymorph: 7 meV/atom
Volume: 27.37 A^3/atom

(3)
Below is an optimized crystal structure of YHoLuTl, with properties calculated at the PBE level.

Cell: 5.432 5.432 5.432 Å, 60.00 60.00 60.00°
Last column: magnetic moment on the atom in μB.
Fractional coordinates of all 4 atoms:
1 Lu 0.250 0.250 0.250  -0.29
2 Ho 0.500 0.500 0.500  -0.29
3 Tl 0.750 0.750 0.750  0.00
4 Y 0.000 0.000 0.000  -0.23

## Properties
DOS(E_F): 1.465 states/eV/atom
Energy of formation from the pure elements: -0.17 eV/f.u.
Theoretical density: 9.27 g cm⁻³
Volume: 28.34 A^3/atom

(4)
Below is an optimized crystal structure of HoLuTlZn, with properties calculated at the PBE level.

Cell: 5.164 5.164 5.164 Å, 60.00 60.00 60.00°
Fractional coordinates of all 4 atoms:
1 Ho 0.750 0.750 0.750
2 Lu 0.250 0.250 0.250
3 Zn 0.000 0.000 0.000
4 Tl 0.500 0.500 0.500

## Properties
DOS(E_F): 0.976 states/eV/atom
Energy of formation from the pure elements: -1.20 eV/f.u.
Theoretical density: 10.40 g cm⁻³
Volume: 24.35 A^3/atom

(5)
Below is an optimized crystal structure of HoTmLu4, with properties calculated at the PBE level.

Cell: 6.433 6.433 6.433 Å, 60.00 60.00 60.00°
Last column: magnetic moment on the atom in μB.
Fractional coordinates of all 6 atoms:
1 Lu 0.125 0.625 0.625  0.04
2 Tm 0.250 0.250 0.250  0.04
3 Lu 0.625 0.625 0.125  0.04
4 Lu 0.625 0.125 0.625  0.04
5 Ho 0.000 0.000 0.000  0.25
6 Lu 0.625 0.625 0.625  0.04

## Properties
DOS(E_F): 1.949 states/eV/atom
Energy of formation from the pure elements: 1.65 eV/f.u.
Theoretical density: 9.12 g cm⁻³
Volume: 31.38 A^3/atom

(6)
Below is an optimized crystal structure of Ho2TmLu, with properties calculated at the PBE level.

Cell: 4.929 4.942 4.942 Å, 90.00 90.00 90.00°
Fractional coordinates of all 4 atoms:
1 Lu 0.500 0.500 0.500
2 Tm 0.500 0.000 0.000
3 Ho 0.000 0.500 0.000
4 Ho 0.000 0.000 0.500

## Properties
DOS(E_F): 1.452 states/eV/atom
Energy of formation from the pure elements: 0.11 eV/f.u.
Theoretical density: 9.29 g cm⁻³
ΔE to the lowest computed polymorph: 1 meV/atom
Volume: 30.09 A^3/atom

(7)
Below is an optimized crystal structure of HoTmLu, with properties calculated at the PBE level.

Cell: 3.476 3.476 7.818 Å, 102.85 102.85 90.00°
Fractional coordinates of all 3 atoms:
1 Tm 0.333 0.333 0.665
2 Lu 0.667 0.667 0.334
3 Ho 0.000 0.000 0.001

## Properties
DOS(E_F): 1.329 states/eV/atom
Energy of formation from the pure elements: 0.09 eV/f.u.
Theoretical density: 9.42 g cm⁻³
ΔE to the lowest computed polymorph: 0 meV/atom
Volume: 29.90 A^3/atom

(8)
Below is an optimized crystal structure of Ho2TmLu, with properties calculated at the PBE level.

Cell: 3.495 3.495 11.544 Å, 81.29 81.29 60.00°
Fractional coordinates of all 4 atoms:
1 Lu 0.500 0.500 0.500
2 Ho 0.750 0.750 0.749
3 Tm 0.000 0.000 0.000
4 Ho 0.250 0.250 0.251

## Properties
DOS(E_F): 1.502 states/eV/atom
Energy of formation from the pure elements: 0.11 eV/f.u.
Theoretical density: 9.31 g cm⁻³
ΔE to the lowest computed polymorph: 1 meV/atom
Volume: 30.05 A^3/atom

(9)
Below is an optimized crystal structure of Ho2TmLu, with properties calculated at the PBE level.

Cell: 5.577 5.577 5.577 Å, 60.00 60.00 60.00°
Fractional coordinates of all 4 atoms:
1 Tm 0.500 0.500 0.500
2 Ho 0.250 0.250 0.250
3 Ho 0.750 0.750 0.750
4 Lu 0.000 0.000 0.000

## Properties
DOS(E_F): 2.285 states/eV/atom
Energy of formation from the pure elements: 0.53 eV/f.u.
Theoretical density: 9.12 g cm⁻³
ΔE to the lowest computed polymorph: 106 meV/atom
Volume: 30.66 A^3/atom

(10)
Below is an optimized crystal structure of HoTmLu, with properties calculated at the PBE level.

Cell: 3.416 5.507 5.507 Å, 120.00 90.00 90.00°
Fractional coordinates of all 3 atoms:
1 Tm 0.166 0.333 0.667
2 Ho 0.667 0.667 0.333
3 Lu 0.167 0.000 0.000

## Properties
DOS(E_F): 1.930 states/eV/atom
Energy of formation from the pure elements: 0.26 eV/f.u.
Theoretical density: 9.42 g cm⁻³
ΔE to the lowest computed polymorph: 57 meV/atom
Volume: 29.91 A^3/atom

(11)
Below is an optimized crystal structure of Ho2TmLu, with properties calculated at the PBE level.

Cell: 3.491 3.491 9.878 Å, 90.00 90.00 90.00°
Fractional coordinates of all 4 atoms:
1 Ho 0.000 0.000 0.751
2 Ho 0.000 0.000 0.249
3 Tm 0.500 0.500 0.500
4 Lu 0.500 0.500 0.000

## Properties
DOS(E_F): 1.330 states/eV/atom
Energy of formation from the pure elements: 0.11 eV/f.u.
Theoretical density: 9.29 g cm⁻³
ΔE to the lowest computed polymorph: 0 meV/atom
Volume: 30.10 A^3/atom

(12)
Below is an optimized crystal structure of HoTmLuZn, with properties calculated at the PBE level.

Cell: 5.256 5.256 5.256 Å, 60.00 60.00 60.00°
Fractional coordinates of all 4 atoms:
1 Tm 0.250 0.250 0.250
2 Lu 0.500 0.500 0.500
3 Zn 0.000 0.000 0.000
4 Ho 0.750 0.750 0.750

## Properties
DOS(E_F): 1.012 states/eV/atom
Energy of formation from the pure elements: 0.13 eV/f.u.
Theoretical density: 9.29 g cm⁻³
Volume: 25.67 A^3/atom

(13)
Below is an optimized crystal structure of Ho2LuU, with properties calculated at the PBE level.

Cell: 5.498 5.498 5.497 Å, 60.00 60.00 60.00°
Last column: magnetic moment on the atom in μB.
Fractional coordinates of all 4 atoms:
1 Ho 0.750 0.750 0.751  0.46
2 Ho 0.250 0.250 0.249  0.46
3 Lu 0.500 0.500 0.500  0.29
4 U 0.000 0.000 0.000  2.88

## Properties
DOS(E_F): 2.753 states/eV/atom
Energy of formation from the pure elements: 1.85 eV/f.u.
Theoretical density: 10.50 g cm⁻³
Volume: 29.37 A^3/atom

(14)
Below is an optimized crystal structure of Ho2LuV, with properties calculated at the PBE level.

Cell: 3.336 3.336 11.464 Å, 81.63 81.63 60.00°
Last column: magnetic moment on the atom in μB.
Fractional coordinates of all 4 atoms:
1 Ho 0.917 0.917 0.248  -0.04
2 Ho 0.083 0.083 0.752  -0.04
3 V 0.000 0.000 0.000  -2.58
4 Lu 0.500 0.500 0.500  0.01

## Properties
DOS(E_F): 1.655 states/eV/atom
Energy of formation from the pure elements: 2.39 eV/f.u.
Theoretical density: 8.47 g cm⁻³
Volume: 27.23 A^3/atom

(15)
Below is an optimized crystal structure of Y2HoLu, with properties calculated at the PBE level.

Cell: 3.532 3.532 10.002 Å, 90.00 90.00 90.00°
Fractional coordinates of all 4 atoms:
1 Y 0.000 0.000 0.752
2 Lu 0.500 0.500 0.000
3 Y 0.000 0.000 0.248
4 Ho 0.500 0.500 0.500

## Properties
DOS(E_F): 1.389 states/eV/atom
Energy of formation from the pure elements: 0.12 eV/f.u.
Theoretical density: 6.89 g cm⁻³
ΔE to the lowest computed polymorph: 0 meV/atom
Volume: 31.19 A^3/atom

(16)
Below is an optimized crystal structure of Y2HoLu, with properties calculated at the PBE level.

Cell: 3.469 3.469 12.498 Å, 82.02 82.02 60.00°
Fractional coordinates of all 4 atoms:
1 Y 0.911 0.911 0.268
2 Y 0.089 0.089 0.732
3 Ho 0.500 0.500 0.500
4 Lu 0.000 0.000 0.000

## Properties
DOS(E_F): 1.581 states/eV/atom
Energy of formation from the pure elements: 0.82 eV/f.u.
Theoretical density: 6.69 g cm⁻³
ΔE to the lowest computed polymorph: 176 meV/atom
Volume: 32.14 A^3/atom

(17)
Below is an optimized crystal structure of Y2HoLu, with properties calculated at the PBE level.

Cell: 4.998 4.996 4.996 Å, 90.00 90.00 90.00°
Fractional coordinates of all 4 atoms:
1 Ho 0.500 0.500 0.500
2 Y 0.000 0.500 0.000
3 Lu 0.500 0.000 0.000
4 Y 0.000 0.000 0.500

## Properties
DOS(E_F): 1.510 states/eV/atom
Energy of formation from the pure elements: 0.12 eV/f.u.
Theoretical density: 6.89 g cm⁻³
ΔE to the lowest computed polymorph: 1 meV/atom
Volume: 31.19 A^3/atom

(18)
Below is an optimized crystal structure of Y2HoLu, with properties calculated at the PBE level.

Cell: 5.643 5.643 5.643 Å, 60.00 60.00 60.00°
Fractional coordinates of all 4 atoms:
1 Ho 0.000 0.000 0.000
2 Y 0.750 0.750 0.750
3 Lu 0.500 0.500 0.500
4 Y 0.250 0.250 0.250

## Properties
DOS(E_F): 2.585 states/eV/atom
Energy of formation from the pure elements: 0.53 eV/f.u.
Theoretical density: 6.77 g cm⁻³
ΔE to the lowest computed polymorph: 103 meV/atom
Volume: 31.76 A^3/atom

(19)
Below is an optimized crystal structure of YHo4Lu, with properties calculated at the PBE level.

Cell: 6.505 6.505 6.505 Å, 60.00 60.00 60.00°
Fractional coordinates of all 6 atoms:
1 Lu 0.000 0.000 0.000
2 Ho 0.125 0.625 0.625
3 Ho 0.625 0.125 0.625
4 Ho 0.625 0.625 0.625
5 Ho 0.625 0.625 0.125
6 Y 0.250 0.250 0.250

## Properties
DOS(E_F): 1.478 states/eV/atom
Energy of formation from the pure elements: 1.47 eV/f.u.
Theoretical density: 7.88 g cm⁻³
Volume: 32.44 A^3/atom

(20)
Below is an optimized crystal structure of Ho2LuZn, with properties calculated at the PBE level.

Cell: 5.271 5.271 5.271 Å, 60.00 60.00 60.00°
Fractional coordinates of all 4 atoms:
1 Lu 0.500 0.500 0.500
2 Ho 0.750 0.750 0.750
3 Zn 0.000 0.000 0.000
4 Ho 0.250 0.250 0.250

## Properties
DOS(E_F): 0.962 states/eV/atom
Energy of formation from the pure elements: 0.10 eV/f.u.
Theoretical density: 9.14 g cm⁻³
ΔE to the lowest computed polymorph: 182 meV/atom
Volume: 25.89 A^3/atom

(21)
Below is an optimized crystal structure of HoLuZn2, with properties calculated at the PBE level.

Cell: 4.984 4.984 4.984 Å, 60.00 60.00 60.00°
Fractional coordinates of all 4 atoms:
1 Zn 0.250 0.250 0.250
2 Ho 0.000 0.000 0.000
3 Lu 0.500 0.500 0.500
4 Zn 0.750 0.750 0.750

## Properties
DOS(E_F): 0.758 states/eV/atom
Energy of formation from the pure elements: -1.42 eV/f.u.
Theoretical density: 8.93 g cm⁻³
ΔE to the lowest computed polymorph: 0 meV/atom
Volume: 21.89 A^3/atom

(22)
Below is an optimized crystal structure of Ho2LuZn, with properties calculated at the PBE level.

Cell: 3.531 3.531 8.486 Å, 90.00 90.00 90.00°
Fractional coordinates of all 4 atoms:
1 Lu 0.500 0.500 0.500
2 Zn 0.500 0.500 0.000
3 Ho 0.000 0.000 0.791
4 Ho 0.000 0.000 0.209

## Properties
DOS(E_F): 0.987 states/eV/atom
Energy of formation from the pure elements: -0.62 eV/f.u.
Theoretical density: 8.95 g cm⁻³
ΔE to the lowest computed polymorph: 0 meV/atom
Volume: 26.45 A^3/atom

(23)
Below is an optimized crystal structure of HoLuZn2, with properties calculated at the PBE level.

Cell: 3.554 4.964 4.964 Å, 90.00 90.00 90.00°
Fractional coordinates of all 4 atoms:
1 Lu 0.500 0.000 0.000
2 Zn 0.000 0.500 0.000
3 Ho 0.500 0.500 0.500
4 Zn 0.000 0.000 0.500

## Properties
DOS(E_F): 0.859 states/eV/atom
Energy of formation from the pure elements: -1.39 eV/f.u.
Theoretical density: 8.93 g cm⁻³
ΔE to the lowest computed polymorph: 5 meV/atom
Volume: 21.89 A^3/atom

(24)
Below is an optimized crystal structure of HoLuZn4, with properties calculated at the PBE level.

Cell: 5.414 5.414 5.414 Å, 60.00 60.00 60.00°
Fractional coordinates of all 6 atoms:
1 Zn 0.625 0.625 0.625
2 Zn 0.625 0.125 0.625
3 Lu 0.000 0.000 0.000
4 Zn 0.625 0.625 0.125
5 Ho 0.250 0.250 0.250
6 Zn 0.125 0.625 0.625

## Properties
DOS(E_F): 0.493 states/eV/atom
Energy of formation from the pure elements: -1.95 eV/f.u.
Theoretical density: 8.90 g cm⁻³
Volume: 18.70 A^3/atom

(25)
Below is an optimized crystal structure of HoLu2Zn, with properties calculated at the PBE level.

Cell: 3.492 3.492 8.500 Å, 90.00 90.00 90.00°
Fractional coordinates of all 4 atoms:
1 Zn 0.500 0.500 0.000
2 Ho 0.500 0.500 0.500
3 Lu 0.000 0.000 0.795
4 Lu 0.000 0.000 0.205

## Properties
DOS(E_F): 1.000 states/eV/atom
Energy of formation from the pure elements: -0.66 eV/f.u.
Theoretical density: 9.30 g cm⁻³
ΔE to the lowest computed polymorph: 0 meV/atom
Volume: 25.91 A^3/atom

(26)
Below is an optimized crystal structure of HoLuZn, with properties calculated at the PBE level.

Cell: 3.519 3.519 6.524 Å, 105.65 105.65 90.00°
Fractional coordinates of all 3 atoms:
1 Lu 0.309 0.309 0.619
2 Ho 0.021 0.021 0.042
3 Zn 0.670 0.670 0.339

## Properties
DOS(E_F): 1.356 states/eV/atom
Energy of formation from the pure elements: -0.63 eV/f.u.
Theoretical density: 9.01 g cm⁻³
ΔE to the lowest computed polymorph: 0 meV/atom
Volume: 24.89 A^3/atom

(27)
Below is an optimized crystal structure of Ho2LuZn, with properties calculated at the PBE level.

Cell: 3.861 5.206 5.206 Å, 90.00 90.00 90.00°
Fractional coordinates of all 4 atoms:
1 Lu 0.500 0.500 0.500
2 Ho 0.000 0.000 0.500
3 Zn 0.500 0.000 0.000
4 Ho 0.000 0.500 0.000

## Properties
DOS(E_F): 1.160 states/eV/atom
Energy of formation from the pure elements: -0.03 eV/f.u.
Theoretical density: 9.05 g cm⁻³
ΔE to the lowest computed polymorph: 148 meV/atom
Volume: 26.16 A^3/atom

(28)
Below is an optimized crystal structure of HoLu2Zn, with properties calculated at the PBE level.

Cell: 4.675 4.671 4.671 Å, 90.00 90.00 90.00°
Fractional coordinates of all 4 atoms:
1 Lu 0.000 0.000 0.500
2 Lu 0.000 0.500 0.000
3 Ho 0.500 0.000 0.000
4 Zn 0.500 0.500 0.500

## Properties
DOS(E_F): 1.233 states/eV/atom
Energy of formation from the pure elements: -0.12 eV/f.u.
Theoretical density: 9.45 g cm⁻³
ΔE to the lowest computed polymorph: 137 meV/atom
Volume: 25.50 A^3/atom

(29)
Below is an optimized crystal structure of Ho2LuZn, with properties calculated at the PBE level.

Cell: 3.411 3.411 11.813 Å, 81.70 81.70 60.00°
Fractional coordinates of all 4 atoms:
1 Ho 0.913 0.913 0.262
2 Ho 0.087 0.087 0.738
3 Lu 0.500 0.500 0.500
4 Zn 0.000 0.000 0.000

## Properties
DOS(E_F): 0.721 states/eV/atom
Energy of formation from the pure elements: 1.01 eV/f.u.
Theoretical density: 8.07 g cm⁻³
ΔE to the lowest computed polymorph: 410 meV/atom
Volume: 29.34 A^3/atom

(30)
Below is an optimized crystal structure of HoLuZn, with properties calculated at the PBE level.

Cell: 3.554 4.948 4.948 Å, 120.00 90.00 90.00°
Fractional coordinates of all 3 atoms:
1 Lu 0.084 0.000 0.000
2 Ho 0.616 0.667 0.333
3 Zn 0.300 0.333 0.667

## Properties
DOS(E_F): 0.934 states/eV/atom
Energy of formation from the pure elements: -0.16 eV/f.u.
Theoretical density: 8.93 g cm⁻³
ΔE to the lowest computed polymorph: 158 meV/atom
Volume: 25.11 A^3/atom

(31)
Below is an optimized crystal structure of HoLuZr, with properties calculated at the PBE level.

Cell: 3.350 5.312 5.312 Å, 120.00 90.00 90.00°
Last column: magnetic moment on the atom in μB.
Fractional coordinates of all 3 atoms:
1 Zr 0.166 0.333 0.667  -0.32
2 Lu 0.167 0.000 0.000  -0.09
3 Ho 0.667 0.667 0.333  -0.09

## Properties
DOS(E_F): 1.876 states/eV/atom
Energy of formation from the pure elements: 0.35 eV/f.u.
Theoretical density: 8.74 g cm⁻³
ΔE to the lowest computed polymorph: 54 meV/atom
Volume: 27.29 A^3/atom